1.
This record from Alexandria via LeMat-Bulk describes a relaxed structure of NaInSn2Br6. The functional is PBE.

POSCAR file:
```
NaInSn2Br6
1.0
-5.2222 -2.4604 -5.5846
0.7790 -6.8811 -3.8815
-5.1423 -6.4204 1.6661
Br In Sn Na
6 1 2 1
direct
0.7382 0.1310 0.7620 Br
0.1782 0.3746 0.7316 Br
0.3735 0.7263 0.7303 Br
0.2267 0.9096 0.2531 Br
0.6179 0.2357 0.2256 Br
0.9219 0.6283 0.2324 Br
0.7979 0.8107 0.5834 In
0.9908 0.0065 0.9800 Sn
0.4953 0.5291 0.4660 Sn
0.3212 0.3099 0.0507 Na
```

Output
E_form (uncorrected) = -86.3 kJ per mole of atoms
E = -31.0 eV/cell
M_tot = 0.000 Bohr magnetons per cell

***

2.
This record from Alexandria via LeMat-Bulk describes a relaxed structure of NaIn2SnBr6. The functional is PBE.

POSCAR file:
```
NaIn2SnBr6
1.0
-1.0142 -5.6488 -5.0367
-1.9052 -1.0219 7.3230
-5.1609 6.4797 -0.4377
Br Na In Sn
6 1 2 1
direct
0.8127 0.6114 0.6751 Br
0.1303 0.4019 0.1889 Br
0.4755 0.0726 0.1889 Br
0.4887 0.8763 0.6750 Br
0.0781 0.2008 0.6752 Br
0.8006 0.7270 0.1886 Br
0.9827 0.4909 0.4596 Na
0.6014 0.2999 0.8875 In
0.6083 0.8037 0.3975 In
0.9871 0.9932 0.9662 Sn
```

Output
E_form (uncorrected) = -81.7 kJ per mole of atoms
E = -29.3 eV/cell
M_tot = 0.000 Bohr magnetons per cell